Record 1
## Cs5SI2Br (PBE)

Data for a relaxed structure of Cs5SI2Br.

Results
E_form (uncorrected) (eV/atom): -1.38
Size of the total moment (μB per formula unit): 0.2
Total energy (eV for the cell shown): -51.256

Geometry as CIF:
```
data_Cs5SI2Br
_chemical_formula_sum 'Cs10 S2 I4 Br2'
_space_group_name_H-M_alt 'P 1'
_space_group_IT_number 1
_space_group_name_Hall 'P 1'
_cell_length_a 11.5230
_cell_length_b 11.5230
_cell_length_c 17.7447
_cell_angle_alpha 90.00
_cell_angle_beta 90.00
_cell_angle_gamma 153.34
loop_
_atom_site_label
_atom_site_type_symbol
_atom_site_fract_x
_atom_site_fract_y
_atom_site_fract_z
Cs1 Cs 0.0046 0.9954 0.5000
Cs2 Cs 0.1171 0.8829 0.7230
Cs3 Cs 0.2132 0.7868 0.1455
Cs4 Cs 0.2485 0.7515 0.3842
Cs5 Cs 0.4106 0.5894 0.7991
Cs6 Cs 0.5894 0.4106 0.2991
Cs7 Cs 0.7515 0.2485 0.8842
Cs8 Cs 0.7868 0.2132 0.6455
Cs9 Cs 0.8829 0.1171 0.2230
Cs10 Cs 0.9954 0.0046 0.0000
S1 S 0.2639 0.7361 0.7618
S2 S 0.7361 0.2639 0.2618
I1 I 0.3663 0.6337 0.0233
I2 I 0.4226 0.5774 0.3832
I3 I 0.5774 0.4226 0.8832
I4 I 0.6337 0.3663 0.5233
Br1 Br 0.0490 0.9510 0.1812
Br2 Br 0.9510 0.0490 0.6812
```



Record 2
## Cs2SbI6Br (PBE)

Data for a relaxed structure of Cs2SbI6Br.

Results
E_form (uncorrected) (eV/atom): -0.74
Size of the total moment (μB per formula unit): 0.0
Total energy (eV for the cell shown): -24.174

Geometry as CIF:
```
data_Cs2SbI6Br
_chemical_formula_sum 'Cs2 Sb1 I6 Br1'
_space_group_name_H-M_alt 'P 1'
_space_group_IT_number 1
_space_group_name_Hall 'P 1'
_cell_length_a 8.9745
_cell_length_b 8.9745
_cell_length_c 8.9745
_cell_angle_alpha 122.73
_cell_angle_beta 122.73
_cell_angle_gamma 85.34
loop_
_atom_site_label
_atom_site_type_symbol
_atom_site_fract_x
_atom_site_fract_y
_atom_site_fract_z
Cs1 Cs 0.2500 0.7500 0.5000
Cs2 Cs 0.7500 0.2500 0.5000
Sb1 Sb 0.0000 0.0000 0.0000
I1 I 0.2252 0.2252 0.0000
I2 I 0.2411 0.2411 0.4822
I3 I 0.2411 0.7589 0.0000
I4 I 0.7589 0.2411 0.0000
I5 I 0.7589 0.7589 0.5178
I6 I 0.7748 0.7748 0.0000
Br1 Br 0.5000 0.5000 0.0000
```